Density functional theory data (GGA-PBE) for a relaxed Sr4Si3 crystal.

Summary:
E (eV/cell): -22.35
SG: P6/mmm (191)
Formation energy (no corrections) (eV/atom): 0.093
DOS(E_F) (states/eV per atom): 0.8244

Geometry as extended XYZ:
```
7
Lattice="0.913 2.926 -5.071 -1.630 -5.696 -0.118 -6.303 1.806 -0.093" Properties=species:S:1:pos:R:3 pbc="T T T"
Sr -1.416 0.406 -0.021
Sr -4.886 1.400 -0.072
Sr -3.086 0.955 -3.467
Sr -3.934 -1.919 -1.816
Si -0.815 -2.848 -0.059
Si -0.358 -1.385 -2.595
Si 0.457 1.463 -2.535
```